(1)
Below is a relaxed Tb4Dy2Y2Tm crystal, with properties calculated at the PBE level.

abc: 3.584 9.477 9.519
angles: 115.25 90.00 100.90
Fractional coordinates of all 9 atoms:
1 Y 0.852 0.705 0.333
2 Y 0.148 0.295 0.667
3 Dy 0.666 0.333 0.001
4 Dy 0.334 0.667 0.999
5 Tb 0.518 0.037 0.332
6 Tb 0.482 0.963 0.668
7 Tb 0.185 0.370 0.333
8 Tb 0.815 0.630 0.667
9 Tm 0.000 0.000 0.000

Values from the calculation:
formation energy	4	meV per atom
crystal system	monoclinic
symmetry	C2/m

***

(2)
Below is a relaxed PaNi2As2Pd crystal, with properties calculated at the PBE level.

abc: 4.083 4.083 6.696
angles: 90.00 90.00 120.00
Fractional coordinates of all 6 atoms:
1 Ni 0.333 0.667 0.702
2 Ni 0.667 0.333 0.298
3 As 0.333 0.667 0.266
4 As 0.667 0.333 0.734
5 Pa 0.000 0.000 0.000
6 Pd 0.000 0.000 0.500

Values from the calculation:
formation energy	-596	meV per atom
crystal system	trigonal
symmetry	P-3m1

***

(3)
Below is a relaxed PuUInPt crystal, with properties calculated at the PBE level.

abc: 4.957 4.957 4.957
angles: 60.00 60.00 60.00
Site moments in Bohr magnetons follow the coordinates.
Fractional coordinates of all 4 atoms:
1 U 0.000 0.000 0.000  2.73
2 In 0.500 0.500 0.500  0.04
3 Pu 0.750 0.750 0.750  5.75
4 Pt 0.250 0.250 0.250  0.00

Values from the calculation:
formation energy	-295	meV per atom
crystal system	cubic
symmetry	F-43m

***

(4)
Below is a relaxed HfPd3Br crystal, with properties calculated at the PBE level.

abc: 4.719 4.719 4.719
angles: 90.00 90.00 90.00
Fractional coordinates of all 5 atoms:
1 Pd 0.500 0.000 0.000
2 Pd 0.000 0.500 0.000
3 Pd 0.000 0.000 0.500
4 Hf 0.500 0.500 0.500
5 Br 0.000 0.000 0.000

Values from the calculation:
raw formation energy	658	meV per atom
crystal system	cubic
distance to the lowest polymorph of the same formula	124	meV per atom
symmetry	Pm-3m

***

(5)
Below is a relaxed Zn4NiAg crystal, with properties calculated at the PBE level.

abc: 2.837 4.863 6.979
angles: 102.07 78.27 73.04
Fractional coordinates of all 6 atoms:
1 Zn 0.861 0.471 0.807
2 Zn 0.696 0.959 0.649
3 Zn 0.139 0.529 0.193
4 Zn 0.304 0.041 0.351
5 Ni 0.500 0.500 0.500
6 Ag 0.000 0.000 0.000

Values from the calculation:
formation energy	-88	meV per atom
crystal system	monoclinic
distance to the lowest polymorph of the same formula	0	meV per atom
symmetry	C2/m

***

(6)
Below is a relaxed NdEr2I8 crystal, with properties calculated at the PBE level.

abc: 7.379 9.676 9.676
angles: 61.36 89.56 89.56
Site moments in Bohr magnetons follow the coordinates.
Fractional coordinates of all 11 atoms:
1 Nd 0.000 0.000 0.000  0.32
2 I 0.245 0.840 0.308  0.00
3 I 0.734 0.675 0.675  0.00
4 I 0.245 0.308 0.840  0.00
5 I 0.768 0.165 0.165  0.00
6 I 0.755 0.692 0.160  0.00
7 I 0.266 0.325 0.325  0.00
8 I 0.755 0.160 0.692  0.00
9 I 0.232 0.835 0.835  0.00
10 Er 0.629 0.837 0.837  0.14
11 Er 0.371 0.163 0.163  0.14

Values from the calculation:
raw formation energy	-1217	meV per atom
crystal system	monoclinic
symmetry	C2/m

***

(7)
Below is a relaxed CoTc4P crystal, with properties calculated at the PBE level.

abc: 5.067 5.067 5.067
angles: 60.00 60.00 60.00
Site moments in Bohr magnetons follow the coordinates.
Fractional coordinates of all 6 atoms:
1 Tc 0.125 0.625 0.625  0.10
2 Tc 0.625 0.625 0.125  0.10
3 Tc 0.625 0.625 0.625  0.10
4 Tc 0.625 0.125 0.625  0.10
5 Co 0.250 0.250 0.250  1.84
6 P 0.000 0.000 0.000  0.03

Values from the calculation:
formation energy	760	meV per atom
crystal system	cubic
symmetry	F-43m

***

(8)
Below is a relaxed K4PuCl6 crystal, with properties calculated at the PBE level.

abc: 8.929 8.929 8.929
angles: 90.00 90.00 90.00
Site moments in Bohr magnetons follow the coordinates.
Fractional coordinates of all 22 atoms:
1 Cl 0.924 0.697 0.944  -0.01
2 Cl 0.303 0.944 0.924  -0.01
3 Cl 0.056 0.924 0.303  -0.01
4 Cl 0.803 0.576 0.556  -0.01
5 Cl 0.576 0.444 0.197  -0.01
6 Cl 0.197 0.424 0.444  -0.01
7 Cl 0.697 0.056 0.076  -0.01
8 Cl 0.944 0.076 0.697  -0.01
9 Cl 0.424 0.556 0.803  -0.01
10 Cl 0.076 0.303 0.056  -0.01
11 Cl 0.556 0.197 0.576  -0.01
12 Cl 0.444 0.803 0.424  -0.01
13 K 0.250 0.250 0.750  0.01
14 K 0.618 0.882 0.750  0.00
15 K 0.118 0.750 0.618  0.00
16 K 0.382 0.118 0.250  0.00
17 K 0.750 0.382 0.882  0.00
18 K 0.882 0.250 0.382  0.00
19 K 0.250 0.618 0.118  0.00
20 K 0.750 0.750 0.250  0.01
21 Pu 0.000 0.000 0.000  5.76
22 Pu 0.500 0.500 0.500  5.76

Values from the calculation:
raw formation energy	-1861	meV per atom
crystal system	trigonal
symmetry	R-3c

***

Fermi-level density of states for the records above, in order: 12.00, 4.44, 6.26, 3.20, 1.59, 0.27, 8.49, 37.61 states/eV per cell